(1)
The following is a meta-GGA SCAN calculation of a PBEsol-optimized structure of Pm2NiIr, from Alexandria.

Cell lengths 4.8683, 4.8683, 4.8683 Å; angles 60.00, 60.00, 60.00 degrees
Last column: nearest neighbours and their distance in Å.
Atoms (fractional coordinates):
Pm  0.2500  0.2500  0.2500  4 Ni 2.98, 4 Ir 2.98
Ni  0.0000  0.0000  0.0000  8 Pm 2.98
Pm  0.7500  0.7500  0.7500  4 Ni 2.98, 4 Ir 2.98
Ir  0.5000  0.5000  0.5000  8 Pm 2.98


(2)
The following is a meta-GGA SCAN calculation of a PBEsol-optimized structure of Pr2NiIr, from Alexandria.

Cell lengths 4.9419, 4.9419, 4.9419 Å; angles 60.00, 60.00, 60.00 degrees
Last column: nearest neighbours and their distance in Å.
Atoms (fractional coordinates):
Ni  0.0000  0.0000  0.0000  8 Pr 3.03
Pr  0.2500  0.2500  0.2500  4 Ni 3.03, 4 Ir 3.03
Ir  0.5000  0.5000  0.5000  8 Pr 3.03
Pr  0.7500  0.7500  0.7500  4 Ni 3.03, 4 Ir 3.03


(3)
The following is a meta-GGA SCAN calculation of a PBEsol-optimized structure of Ni2IrPt, from Alexandria.

Cell lengths 2.6565, 2.6565, 7.0887 Å; angles 90.00, 90.00, 90.00 degrees
Last column: nearest neighbours and their distance in Å.
Atoms (fractional coordinates):
Ni  0.0000  0.0000  0.2567  4 Ir 2.55, 4 Pt 2.62, 4 Ni 2.66
Pt  0.5000  0.5000  0.0000  8 Ni 2.62, 4 Pt 2.66
Ir  0.5000  0.5000  0.5000  8 Ni 2.55, 4 Ir 2.66
Ni  0.0000  0.0000  0.7433  4 Ir 2.55, 4 Pt 2.62, 4 Ni 2.66


(4)
The following is a meta-GGA SCAN calculation of a PBEsol-optimized structure of NiIr2Pt, from Alexandria.

Cell lengths 3.7872, 3.7872, 4.6104 Å; angles 114.25, 114.25, 90.00 degrees
Last column: nearest neighbours and their distance in Å.
Atoms (fractional coordinates):
Pt  0.0000  0.0000  0.0000  8 Ir 2.67, 4 Ni 2.68
Ir  0.7500  0.2500  0.5000  4 Ni 2.67, 4 Pt 2.67, 4 Ir 2.68
Ni  0.5000  0.5000  0.0000  8 Ir 2.67, 4 Pt 2.68
Ir  0.2500  0.7500  0.5000  4 Ni 2.67, 4 Pt 2.67, 4 Ir 2.68


Number 1: formation energy -53.8 kJ/mol of atoms. Number 2: formation energy -43.0 kJ/mol of atoms. Number 3: formation energy -4.2 kJ/mol of atoms. Number 4: formation energy 4.8 kJ/mol of atoms.